This record from the Alexandria database describes a geometry-optimized Tl2HgBiRh structure. The functional is GGA-PBE.

POSCAR file:
```
Tl2HgBiRh
1.0
5.309 0.000 0.000
0.000 5.309 0.000
0.000 0.000 5.350
Bi Rh Tl Hg
1 1 2 1
Direct
0.000 0.000 0.500
0.000 0.000 0.000
0.500 0.000 0.000
0.000 0.500 0.000
0.500 0.500 0.500
```

## Properties
* total DFT energy (no corrections): -3.193 eV per atom
* size of the total moment: 0.00 μB/atom
* theoretical density: 10.1 g/cm3
* Fermi-level density of states: 3.76 states/eV/cell
* ΔH_f (0 K): 0.06 eV per atom
* energy above the most stable polymorph in this dataset: 0.0 meV/atom


This record from the Alexandria database describes a geometry-optimized YTi2OsBr structure. The functional is GGA-PBE.

POSCAR file:
```
YTi2OsBr
1.0
4.565 0.000 0.000
0.000 4.565 0.000
0.000 0.000 5.133
Ti Os Y Br
2 1 1 1
Direct
0.000 0.500 0.000
0.500 0.000 0.000
0.500 0.500 0.500
0.000 0.000 0.500
0.000 0.000 0.000
```

## Properties
* total DFT energy (no corrections): -6.292 eV per atom
* size of the total moment: 0.00 μB/atom
* energy relative to the elements, uncorrected: 0.739 eV/atom
* theoretical density: 7.1 g/cm3
* Fermi-level density of states: 6.08 states/eV/cell